The following is a GGA-PBE calculation of crystalline ZnSnSO at its relaxed geometry, from OQMD via LeMat-Bulk.

The calculation puts the calculated total energy at -0.305 Ry per atom. The energy above the most stable polymorph in this dataset is 36.80 kJ/mol of atoms. The calculated volume comes out at 251.7 Å³ per cell.

The structure belongs to space group Cmcm (No. 63); the cell edges are 3.000, 15.285 and 5.489 Å and the angles 90.00°, 90.00° and 90.00°. The distinct sites, in fractional coordinates, are Zn at (0.000, 0.053, 0.250), Sn at (0.000, 0.364, 0.250), S at (0.000, 0.317, 0.750) and O at (0.000, 0.500, 0.000).

The following is a GGA-PBE calculation of crystalline K3GdHg at its relaxed geometry, from OQMD via LeMat-Bulk.

The calculation puts the calculated total energy at -0.063 Ry per atom. The calculated volume comes out at 419.6 Å³ per cell.

The structure belongs to space group Pm-3m (No. 221); the cell edges are 7.486, 7.486 and 7.486 Å and the angles 90.00°, 90.00° and 90.00°. The distinct sites, in fractional coordinates, are K at (0.000, 0.000, 0.500), Gd at (0.000, 0.000, 0.000) and Hg at (0.500, 0.500, 0.500).

The following is a GGA-PBE calculation of crystalline BaDyTeAuS2 at its relaxed geometry, from OQMD via LeMat-Bulk.

The calculation puts the calculated total energy at -0.364 Ry per atom. The calculated volume comes out at 690.2 Å³ per cell.

The structure belongs to space group Cmcm (No. 63); the cell edges are 4.156, 15.025 and 11.054 Å and the angles 90.00°, 90.00° and 90.00°. The distinct sites, in fractional coordinates, are Ba at (0.000, 0.211, 0.250), Dy at (0.000, 0.000, 0.000), Te at (0.000, 0.102, 0.750), Au at (0.000, 0.479, 0.750) and S at (0.000, 0.383, 0.564).